# 1
Ba2GeSbRh6: relaxed, GGA-PBE.

Computed properties:
uncorrected formation energy: -26 meV/atom
symmetry: No. 225

Cell and atoms, written as POSCAR:
```
Ba2GeSbRh6
1.0
0.000 4.842 4.842
4.842 0.000 4.842
4.842 4.842 0.000
Ba Ge Sb Rh
2 1 1 6
Direct
0.250 0.250 0.250
0.750 0.750 0.750
0.000 0.000 0.000
0.500 0.500 0.500
0.241 0.241 0.759
0.241 0.759 0.241
0.241 0.759 0.759
0.759 0.241 0.241
0.759 0.241 0.759
0.759 0.759 0.241
```



# 2
Cs3ErNp2Te6: relaxed, GGA-PBE.

Computed properties:
uncorrected formation energy: -1039 meV/atom
symmetry: No. 12

Cell and atoms, written as POSCAR:
```
Cs3ErNp2Te6
1.0
3.981 -6.895 0.000
3.981 6.895 0.000
-2.655 0.000 8.912
Cs Er Np Te
3 1 2 6
Direct
0.000 0.000 0.000
0.332 0.668 0.000
0.668 0.332 0.000
0.500 0.500 0.500
0.167 0.833 0.500
0.833 0.167 0.500
0.109 0.437 0.310
0.235 0.235 0.690
0.437 0.109 0.310
0.563 0.891 0.690
0.765 0.765 0.310
0.891 0.563 0.690
```



# 3
CeTm2Al: relaxed, GGA-PBE.

Computed properties:
symmetry: No. 123
excess energy over the best structure of this formula in the dataset: 0 kJ/mol of formula units
ΔE_f: -0.160 eV/atom

Cell and atoms, written as POSCAR:
```
CeTm2Al
1.0
3.429 0.000 0.000
0.000 3.429 0.000
0.000 0.000 8.975
Ce Tm Al
1 2 1
Direct
0.000 0.000 0.000
0.500 0.500 0.285
0.500 0.500 0.715
0.000 0.000 0.500
```